Record 1
Below is a geometry-optimized NaMg2Ge2 structure, with properties calculated at the PBE-GGA level.

a = 8.3073 Å, b = 8.3073 Å, c = 3.0736 Å
α = 90.00°, β = 90.00°, γ = 90.00°
Closest atoms and distances in Å follow each position.
Fractional positions:
Na  0.0000  0.0000  0.0000  2 Na 3.07, 4 Ge 3.12
Na  0.5000  0.5000  0.0000  2 Na 3.07, 4 Ge 3.12
Mg  0.1351  0.3649  0.5000  6 Ge 2.85-2.90, 3 Mg 3.07-3.18
Mg  0.3649  0.8649  0.5000  6 Ge 2.85-2.90, 3 Mg 3.07-3.18
Mg  0.6351  0.1351  0.5000  6 Ge 2.85-2.90, 3 Mg 3.07-3.18
Mg  0.8649  0.6351  0.5000  6 Ge 2.85-2.90, 3 Mg 3.07-3.18
Ge  0.1605  0.6605  0.0000  6 Mg 2.85-2.90, 2 Ge 3.07, 2 Na 3.12
Ge  0.3395  0.1605  0.0000  6 Mg 2.85-2.90, 2 Ge 3.07, 2 Na 3.12
Ge  0.6605  0.8395  0.0000  6 Mg 2.85-2.90, 2 Ge 3.07, 2 Na 3.12
Ge  0.8395  0.3395  0.0000  6 Mg 2.85-2.90, 2 Ge 3.07, 2 Na 3.12

Calculated values
Relative energy among the computed polymorphs   49 meV/atom
Crystal system   tetragonal
Energy of formation   -0.7 eV per formula unit

---

Record 2
Below is a geometry-optimized NbNi2Sb structure, with properties calculated at the PBE-GGA level.

a = 3.9953 Å, b = 3.9953 Å, c = 3.7988 Å
α = 90.00°, β = 90.00°, γ = 90.00°
Closest atoms and distances in Å follow each position.
Fractional positions:
Nb  0.0000  0.0000  0.0000  8 Ni 2.76, 4 Sb 2.83
Ni  0.0000  0.5000  0.5000  4 Nb 2.76, 4 Sb 2.76, 4 Ni 2.83
Ni  0.5000  0.0000  0.5000  4 Nb 2.76, 4 Sb 2.76, 4 Ni 2.83
Sb  0.5000  0.5000  0.0000  8 Ni 2.76, 4 Nb 2.83

Calculated values
Crystal system   tetragonal
Raw formation energy   -11.9 kJ per mole of atoms

---

Record 3
Below is a geometry-optimized Ca3Nd4Se8 structure, with properties calculated at the PBE-GGA level.

a = 8.4221 Å, b = 8.4221 Å, c = 8.4355 Å
α = 119.88°, β = 119.88°, γ = 90.12°
Closest atoms and distances in Å follow each position.
Fractional positions:
Ca  0.0000  0.0000  0.0000  6 Se 2.96-2.98
Ca  0.0000  0.5000  0.0000  6 Se 2.97-2.99
Ca  0.5000  0.0000  0.0000  6 Se 2.97-2.99
Nd  0.0000  0.5000  0.5000  6 Se 2.97-2.99
Nd  0.5000  0.0000  0.5000  6 Se 2.97-2.99
Nd  0.5000  0.5000  0.0000  6 Se 2.97-3.00
Nd  0.5000  0.5000  0.5000  6 Se 2.97-2.99
Se  0.2473  0.2473  0.4981  1 Ca 2.98, 4 Nd 2.98-3.00
Se  0.2483  0.7517  0.0000  3 Ca 2.96-2.97, 3 Nd 2.99-3.00
Se  0.2495  0.7505  0.5000  3 Nd 2.97-2.99, 2 Ca 2.99
Se  0.2521  0.2521  0.0036  2 Nd 2.97, 3 Ca 2.98
Se  0.7479  0.7479  0.9964  2 Nd 2.97, 3 Ca 2.98
Se  0.7505  0.2495  0.5000  3 Nd 2.97-2.99, 2 Ca 2.99
Se  0.7517  0.2483  0.0000  3 Ca 2.96-2.97, 3 Nd 2.99-3.00
Se  0.7527  0.7527  0.5019  1 Ca 2.98, 4 Nd 2.98-3.00

Calculated values
Crystal system   monoclinic
Raw formation energy   -185.2 kJ per mole of atoms

---

Record 4
Below is a geometry-optimized Ca2GeHPd structure, with properties calculated at the PBE-GGA level.

a = 5.1861 Å, b = 5.1861 Å, c = 3.5516 Å
α = 90.00°, β = 90.00°, γ = 90.00°
Closest atoms and distances in Å follow each position.
Fractional positions:
Ca  0.0000  0.5000  0.0000  2 H 2.59
Ca  0.5000  0.0000  0.0000  2 H 2.59
Ge  0.0000  0.0000  0.5000  8 Ca 3.14
H  0.5000  0.5000  0.0000  2 Pd 1.78
Pd  0.5000  0.5000  0.5000  2 H 1.78

Calculated values
Total energy   -4.03 eV/atom
Crystal system   tetragonal